# 1
First-principles (PBE) data for crystalline Li2CoW at its relaxed geometry, as listed in Alexandria.

a b c (Å): 5.805 5.805 5.805
angles (deg): 90.00 90.00 90.00
Space group F-43m (No. 216)
Unique sites:
1 Li 0.000 0.000 0.000 (multiplicity 4)
2 Li 0.250 0.250 0.250 (multiplicity 4)
3 Co 0.250 0.250 0.750 (multiplicity 4)
4 W 0.000 0.000 0.500 (multiplicity 4)

Properties
ΔE to the lowest computed polymorph: 110.8 meV per atom
total magnetization: 0.00 μB/f.u.
raw total energy: -0.4105 Ry/atom
DFT formation energy: 0.3870 eV/atom


# 2
First-principles (PBE) data for crystalline Lu2ZnOs at its relaxed geometry, as listed in Alexandria.

a b c (Å): 3.3060 3.3060 30.3093
angles (deg): 90.00 90.00 120.00
Space group R-3m (No. 166, hexagonal axes)
Unique sites:
1 Lu 0.0000 0.0000 0.1000 (multiplicity 6)
2 Zn 0.0000 0.0000 0.0000 (multiplicity 3)
3 Os 0.0000 0.0000 0.5000 (multiplicity 3)

Properties
ΔE to the lowest computed polymorph: 646.7 meV per atom
total magnetization: 0.00 μB/f.u.
raw total energy: -0.3776 Ry/atom
DFT formation energy: 0.2491 eV/atom


# 3
First-principles (PBE) data for crystalline TaMnTc3 at its relaxed geometry, as listed in Alexandria.

a b c (Å): 4.372 4.372 4.372
angles (deg): 90.00 90.00 90.00
Space group Pm-3m (No. 221)
Unique sites:
1 Ta 0.000 0.000 0.000 (multiplicity 1)
2 Mn 0.500 0.500 0.500 (multiplicity 1)
3 Tc 0.000 0.500 0.500 (multiplicity 3)

Properties
ΔE to the lowest computed polymorph: 0.0 meV per atom
total magnetization: 0.00 μB/f.u.
raw total energy: -0.6964 Ry/atom
DFT formation energy: 0.9494 eV/atom


# 4
First-principles (PBE) data for crystalline InHg2TeBr at its relaxed geometry, as listed in Alexandria.

a b c (Å): 6.321 6.321 5.560
angles (deg): 90.00 90.00 90.00
Space group P4/mmm (No. 123)
Unique sites:
1 In 0.000 0.000 0.000 (multiplicity 1)
2 Hg 0.000 0.500 0.500 (multiplicity 2)
3 Te 0.500 0.500 0.000 (multiplicity 1)
4 Br 0.500 0.500 0.500 (multiplicity 1)

Properties
total magnetization: 0.00 μB/f.u.
raw total energy: -0.1003 Ry/atom


# 5
First-principles (PBE) data for crystalline Ta2MnBe2Ru5 at its relaxed geometry, as listed in Alexandria.

a b c (Å): 9.265 9.265 3.094
angles (deg): 90.00 90.00 90.00
Space group P4/mbm (No. 127)
Unique sites:
1 Ta 0.176 0.324 0.000 (multiplicity 4)
2 Mn 0.000 0.000 0.000 (multiplicity 2)
3 Be 0.123 0.623 0.000 (multiplicity 4)
4 Ru 0.000 0.500 0.500 (multiplicity 2)
5 Ru 0.072 0.794 0.500 (multiplicity 8)

Properties
total magnetization: 2.11 μB/f.u.
raw total energy: -0.6615 Ry/atom
DFT formation energy: -0.3294 eV/atom


# 6
First-principles (PBE) data for crystalline V3SnIr at its relaxed geometry, as listed in Alexandria.

a b c (Å): 4.644 4.644 4.644
angles (deg): 90.00 90.00 90.00
Space group Pm-3m (No. 221)
Unique sites:
1 V 0.000 0.000 0.500 (multiplicity 3)
2 Sn 0.500 0.500 0.500 (multiplicity 1)
3 Ir 0.000 0.000 0.000 (multiplicity 1)

Properties
ΔE to the lowest computed polymorph: 0.0 meV per atom
total magnetization: 2.34 μB/f.u.
raw total energy: -0.5379 Ry/atom
DFT formation energy: 0.7250 eV/atom